Density functional theory data (GGA-PBE) for an optimized crystal structure of Os.

Lattice parameters (Å, degrees): 3.7213 13.0360 5.7359 90.00 90.00 90.00
Space group Pmmn (No. 59, origin choice 2)
Asymmetric unit:
Os1 0.2500 0.0957 0.1265 x4
Os2 0.2500 0.2500 0.3724 x2
Os3 0.2500 0.5958 0.1274 x4
Os4 0.2500 0.7500 0.3737 x2

Output
DFT formation energy ... 1.48 eV/atom
Excess energy over the best structure of this formula in the dataset ... 1481 meV per atom
DOS(E_F) ... 10.02 states/eV per cell

=====

Density functional theory data (GGA-PBE) for an optimized crystal structure of KMg2Be.

Lattice parameters (Å, degrees): 3.2258 3.2258 9.4917 90.00 90.00 90.00
Space group P4/mmm (No. 123)
Asymmetric unit:
K1 0.0000 0.0000 0.0000 x1
Mg1 0.5000 0.5000 0.3357 x2
Be1 0.0000 0.0000 0.5000 x1

Output
DFT formation energy ... 0.40 eV/atom
DOS(E_F) ... 1.62 states/eV per cell

=====

Density functional theory data (GGA-PBE) for an optimized crystal structure of Tm2LuPb.

Lattice parameters (Å, degrees): 3.4852 3.4852 35.4392 90.00 90.00 120.00
Space group R-3m (No. 166, hexagonal axes)
Asymmetric unit:
Tm1 0.0000 0.0000 0.0889 x6
Lu1 0.0000 0.0000 0.5000 x3
Pb1 0.0000 0.0000 0.0000 x3

Output
DFT formation energy ... 0.06 eV/atom
Excess energy over the best structure of this formula in the dataset ... 288 meV per atom
DOS(E_F) ... 12.75 states/eV per cell